Entry 1:
First-principles (GGA-PBE) data for Nd2Cu3Pd12Au after structural relaxation, as listed in Alexandria.

a = 6.8808 Å, b = 6.8808 Å, c = 6.8808 Å
α = 83.27°, β = 83.27°, γ = 83.27°
Element x y z (fractional)
Nd 0.2245 0.2245 0.2245
Nd 0.7755 0.7755 0.7755
Cu 0.0000 0.5000 0.5000
Cu 0.5000 0.0000 0.5000
Cu 0.5000 0.5000 0.0000
Pd 0.0953 0.0953 0.6285
Pd 0.0953 0.6285 0.0953
Pd 0.1921 0.6960 0.6960
Pd 0.3040 0.3040 0.8079
Pd 0.3040 0.8079 0.3040
Pd 0.3715 0.9047 0.9047
Pd 0.6285 0.0953 0.0953
Pd 0.6960 0.1921 0.6960
Pd 0.6960 0.6960 0.1921
Pd 0.8079 0.3040 0.3040
Pd 0.9047 0.3715 0.9047
Pd 0.9047 0.9047 0.3715
Au 0.5000 0.5000 0.5000

- SG = R-3m (166)
- calculated formation energy (eV per atom) = -0.193
- Fermi-level density of states (states/eV/f.u.) = 10.779
- total magnetization (μB per formula unit) = 0.0

***

Entry 2:
First-principles (GGA-PBE) data for PmNdCuAu after structural relaxation, as listed in Alexandria.

a = 5.1686 Å, b = 5.1686 Å, c = 5.1686 Å
α = 60.00°, β = 60.00°, γ = 60.00°
Element x y z (fractional)
Pm 0.0000 0.0000 0.0000
Nd 0.5000 0.5000 0.5000
Cu 0.7500 0.7500 0.7500
Au 0.2500 0.2500 0.2500

- SG = F-43m (216)
- calculated formation energy (eV per atom) = -0.452
- Fermi-level density of states (states/eV/f.u.) = 3.729
- energy above the most stable polymorph in this dataset (meV/atom) = 40.3
- total magnetization (μB per formula unit) = 0.0

***

Entry 3:
First-principles (GGA-PBE) data for PmNdCuAu after structural relaxation, as listed in Alexandria.

a = 4.6525 Å, b = 5.8412 Å, c = 5.8412 Å
α = 39.28°, β = 90.00°, γ = 90.00°
Element x y z (fractional)
Pm 0.0000 0.0000 0.0000
Nd 0.5000 0.7210 0.7210
Cu 0.0000 0.2844 0.2844
Au 0.5000 0.4362 0.4362

- SG = Amm2 (38)
- calculated formation energy (eV per atom) = -0.492
- Fermi-level density of states (states/eV/f.u.) = 3.222
- energy above the most stable polymorph in this dataset (meV/atom) = 0.0
- total magnetization (μB per formula unit) = 0.0

***

Entry 4:
First-principles (GGA-PBE) data for PrNdCuAu after structural relaxation, as listed in Alexandria.

a = 4.6708 Å, b = 5.8834 Å, c = 5.8834 Å
α = 39.40°, β = 90.00°, γ = 90.00°
Element x y z (fractional)
Pr 0.0000 0.0000 0.0000
Nd 0.5000 0.7207 0.7207
Cu 0.5000 0.4353 0.4353
Au 0.0000 0.2856 0.2856

- SG = Amm2 (38)
- calculated formation energy (eV per atom) = -0.476
- Fermi-level density of states (states/eV/f.u.) = 3.338
- energy above the most stable polymorph in this dataset (meV/atom) = 0.0
- total magnetization (μB per formula unit) = 0.0

***

Entry 5:
First-principles (GGA-PBE) data for PrNdCuAu after structural relaxation, as listed in Alexandria.

a = 5.2051 Å, b = 5.2051 Å, c = 5.2051 Å
α = 60.00°, β = 60.00°, γ = 60.00°
Element x y z (fractional)
Pr 0.0000 0.0000 0.0000
Nd 0.5000 0.5000 0.5000
Cu 0.7500 0.7500 0.7500
Au 0.2500 0.2500 0.2500

- SG = F-43m (216)
- calculated formation energy (eV per atom) = -0.432
- Fermi-level density of states (states/eV/f.u.) = 3.685
- energy above the most stable polymorph in this dataset (meV/atom) = 44.0
- total magnetization (μB per formula unit) = 0.0

***

Entry 6:
First-principles (GGA-PBE) data for Nd2Cu2Pt5Au after structural relaxation, as listed in Alexandria.

a = 9.4290 Å, b = 9.4290 Å, c = 4.0313 Å
α = 90.00°, β = 90.00°, γ = 90.00°
Element x y z (fractional)
Nd 0.1802 0.3198 0.0000
Nd 0.3198 0.8198 0.0000
Nd 0.6802 0.1802 0.0000
Nd 0.8198 0.6802 0.0000
Cu 0.1178 0.6178 0.0000
Cu 0.3822 0.1178 0.0000
Cu 0.6178 0.8822 0.0000
Cu 0.8822 0.3822 0.0000
Pt 0.0000 0.5000 0.5000
Pt 0.0648 0.7907 0.5000
Pt 0.2093 0.0648 0.5000
Pt 0.2907 0.5648 0.5000
Pt 0.4352 0.2907 0.5000
Pt 0.5000 0.0000 0.5000
Pt 0.5648 0.7093 0.5000
Pt 0.7093 0.4352 0.5000
Pt 0.7907 0.9352 0.5000
Pt 0.9352 0.2093 0.5000
Au 0.0000 0.0000 0.0000
Au 0.5000 0.5000 0.0000

- SG = P4/mbm (127)
- calculated formation energy (eV per atom) = -0.699
- Fermi-level density of states (states/eV/f.u.) = 2.855
- total magnetization (μB per formula unit) = 0.0

***

Entry 7:
First-principles (GGA-PBE) data for Nd2Cu4Si3Au after structural relaxation, as listed in Alexandria.

a = 4.1633 Å, b = 4.1633 Å, c = 10.0139 Å
α = 90.00°, β = 90.00°, γ = 90.00°
Element x y z (fractional)
Nd 0.0000 0.5000 0.2420
Nd 0.5000 0.0000 0.7580
Cu 0.0000 0.0000 0.0000
Cu 0.0000 0.5000 0.6432
Cu 0.5000 0.0000 0.3568
Cu 0.5000 0.5000 0.0000
Si 0.0000 0.5000 0.8748
Si 0.5000 0.0000 0.1252
Si 0.5000 0.5000 0.5000
Au 0.0000 0.0000 0.5000

- SG = P-4m2 (115)
- Fermi-level density of states (states/eV/f.u.) = 6.111
- total magnetization (μB per formula unit) = 0.0
- formation energy (no corrections) (eV per atom) = -0.48

***

Entry 8:
First-principles (GGA-PBE) data for NdCuSi2Au after structural relaxation, as listed in Alexandria.

a = 5.9155 Å, b = 5.9155 Å, c = 5.9155 Å
α = 138.48°, β = 138.48°, γ = 60.17°
Element x y z (fractional)
Nd 0.0000 0.0000 0.0000
Cu 0.2500 0.7500 0.5000
Si 0.3842 0.3842 0.0000
Si 0.6158 0.6158 0.0000
Au 0.7500 0.2500 0.5000

- SG = I-4m2 (119)
- Fermi-level density of states (states/eV/f.u.) = 1.209
- total magnetization (μB per formula unit) = 0.0
- formation energy (no corrections) (eV per atom) = -0.61

***

Entry 9:
First-principles (GGA-PBE) data for TbNdCuAu after structural relaxation, as listed in Alexandria.

a = 4.5944 Å, b = 5.8269 Å, c = 5.8269 Å
α = 38.56°, β = 90.00°, γ = 90.00°
Element x y z (fractional)
Tb 0.0000 0.0000 0.0000
Nd 0.5000 0.7216 0.7216
Cu 0.0000 0.2850 0.2850
Au 0.5000 0.4404 0.4404

- SG = Amm2 (38)
- calculated formation energy (eV per atom) = -0.515
- Fermi-level density of states (states/eV/f.u.) = 2.845
- energy above the most stable polymorph in this dataset (meV/atom) = 0.0
- total magnetization (μB per formula unit) = 0.0

***

Entry 10:
First-principles (GGA-PBE) data for TbNdCuAu after structural relaxation, as listed in Alexandria.

a = 5.1150 Å, b = 5.1150 Å, c = 5.1150 Å
α = 60.00°, β = 60.00°, γ = 60.00°
Element x y z (fractional)
Tb 0.0000 0.0000 0.0000
Nd 0.5000 0.5000 0.5000
Cu 0.7500 0.7500 0.7500
Au 0.2500 0.2500 0.2500

- SG = F-43m (216)
- calculated formation energy (eV per atom) = -0.480
- Fermi-level density of states (states/eV/f.u.) = 3.781
- energy above the most stable polymorph in this dataset (meV/atom) = 34.9
- total magnetization (μB per formula unit) = 0.0

***

Entry 11:
First-principles (GGA-PBE) data for NdThCuAu after structural relaxation, as listed in Alexandria.

a = 4.5553 Å, b = 5.9603 Å, c = 5.9603 Å
α = 38.25°, β = 90.00°, γ = 90.00°
Element x y z (fractional)
Nd 0.0000 0.0000 0.0000
Th 0.5000 0.2872 0.2872
Cu 0.0000 0.7267 0.7267
Au 0.5000 0.5727 0.5727

- SG = Amm2 (38)
- calculated formation energy (eV per atom) = -0.408
- Fermi-level density of states (states/eV/f.u.) = 4.004
- energy above the most stable polymorph in this dataset (meV/atom) = 0.0
- total magnetization (μB per formula unit) = 0.0

***

Entry 12:
First-principles (GGA-PBE) data for NdThCuAu after structural relaxation, as listed in Alexandria.

a = 5.1819 Å, b = 5.1819 Å, c = 5.1819 Å
α = 60.00°, β = 60.00°, γ = 60.00°
Element x y z (fractional)
Nd 0.0000 0.0000 0.0000
Th 0.5000 0.5000 0.5000
Cu 0.7500 0.7500 0.7500
Au 0.2500 0.2500 0.2500

- SG = F-43m (216)
- calculated formation energy (eV per atom) = -0.344
- Fermi-level density of states (states/eV/f.u.) = 4.418
- energy above the most stable polymorph in this dataset (meV/atom) = 64.0
- total magnetization (μB per formula unit) = 0.0

***

Entry 13:
First-principles (GGA-PBE) data for NdTlCuAu after structural relaxation, as listed in Alexandria.

a = 4.9911 Å, b = 4.9911 Å, c = 4.9911 Å
α = 60.00°, β = 60.00°, γ = 60.00°
Element x y z (fractional)
Nd 0.0000 0.0000 0.0000
Tl 0.5000 0.5000 0.5000
Cu 0.2500 0.2500 0.2500
Au 0.7500 0.7500 0.7500

- SG = F-43m (216)
- calculated formation energy (eV per atom) = -0.335
- Fermi-level density of states (states/eV/f.u.) = 2.731
- total magnetization (μB per formula unit) = 0.0

***

Entry 14:
First-principles (GGA-PBE) data for NdTmCuAu after structural relaxation, as listed in Alexandria.

a = 4.5422 Å, b = 5.8226 Å, c = 5.8226 Å
α = 38.00°, β = 90.00°, γ = 90.00°
Element x y z (fractional)
Nd 0.0000 0.0000 0.0000
Tm 0.5000 0.7210 0.7210
Cu 0.5000 0.4357 0.4357
Au 0.0000 0.2785 0.2785

- SG = Amm2 (38)
- calculated formation energy (eV per atom) = -0.523
- Fermi-level density of states (states/eV/f.u.) = 2.730
- energy above the most stable polymorph in this dataset (meV/atom) = 0.0
- total magnetization (μB per formula unit) = 0.0

***

Entry 15:
First-principles (GGA-PBE) data for NdTmCuAu after structural relaxation, as listed in Alexandria.

a = 5.0729 Å, b = 5.0729 Å, c = 5.0729 Å
α = 60.00°, β = 60.00°, γ = 60.00°
Element x y z (fractional)
Nd 0.0000 0.0000 0.0000
Tm 0.5000 0.5000 0.5000
Cu 0.7500 0.7500 0.7500
Au 0.2500 0.2500 0.2500

- SG = F-43m (216)
- calculated formation energy (eV per atom) = -0.495
- Fermi-level density of states (states/eV/f.u.) = 3.560
- energy above the most stable polymorph in this dataset (meV/atom) = 28.9
- total magnetization (μB per formula unit) = 0.0

***

Entry 16:
First-principles (GGA-PBE) data for Nd2ZnCuAu6 after structural relaxation, as listed in Alexandria.

a = 6.8748 Å, b = 6.8748 Å, c = 6.8748 Å
α = 60.00°, β = 60.00°, γ = 60.00°
Element x y z (fractional)
Nd 0.2500 0.2500 0.2500
Nd 0.7500 0.7500 0.7500
Zn 0.0000 0.0000 0.0000
Cu 0.5000 0.5000 0.5000
Au 0.2512 0.2512 0.7488
Au 0.2512 0.7488 0.2512
Au 0.2512 0.7488 0.7488
Au 0.7488 0.2512 0.2512
Au 0.7488 0.2512 0.7488
Au 0.7488 0.7488 0.2512

- SG = Fm-3m (225)
- calculated formation energy (eV per atom) = -0.233
- Fermi-level density of states (states/eV/f.u.) = 5.042
- total magnetization (μB per formula unit) = 0.0

***

Entry 17:
First-principles (GGA-PBE) data for NdZn3CuAu after structural relaxation, as listed in Alexandria.

a = 7.0419 Å, b = 7.0419 Å, c = 5.9035 Å
α = 90.00°, β = 90.00°, γ = 129.32°
Element x y z (fractional)
Nd 0.2191 0.7809 0.7500
Nd 0.7809 0.2191 0.2500
Zn 0.2072 0.2072 0.0000
Zn 0.2072 0.2072 0.5000
Zn 0.3674 0.6326 0.2500
Zn 0.6326 0.3674 0.7500
Zn 0.7928 0.7928 0.0000
Zn 0.7928 0.7928 0.5000
Cu 0.4355 0.5645 0.7500
Cu 0.5645 0.4355 0.2500
Au 0.1577 0.8423 0.2500
Au 0.8423 0.1577 0.7500

- SG = Cmcm (63)
- calculated formation energy (eV per atom) = -0.229
- Fermi-level density of states (states/eV/f.u.) = 2.699
- total magnetization (μB per formula unit) = 0.0

***

Entry 18:
First-principles (GGA-PBE) data for Nd2Zn4CuAu3 after structural relaxation, as listed in Alexandria.

a = 4.1529 Å, b = 4.1529 Å, c = 11.6440 Å
α = 90.00°, β = 90.00°, γ = 90.00°
Element x y z (fractional)
Nd 0.0000 0.5000 0.2419
Nd 0.5000 0.0000 0.7581
Zn 0.0000 0.0000 0.5000
Zn 0.0000 0.5000 0.8692
Zn 0.5000 0.0000 0.1308
Zn 0.5000 0.5000 0.5000
Cu 0.5000 0.5000 0.0000
Au 0.0000 0.0000 0.0000
Au 0.0000 0.5000 0.6464
Au 0.5000 0.0000 0.3536

- SG = P-4m2 (115)
- calculated formation energy (eV per atom) = -0.448
- Fermi-level density of states (states/eV/f.u.) = 7.123
- total magnetization (μB per formula unit) = 0.0

***

Entry 19:
First-principles (GGA-PBE) data for Nd2Zn3CuAu4 after structural relaxation, as listed in Alexandria.

a = 4.2680 Å, b = 4.2680 Å, c = 11.2358 Å
α = 90.00°, β = 90.00°, γ = 90.00°
Element x y z (fractional)
Nd 0.0000 0.5000 0.2423
Nd 0.5000 0.0000 0.7577
Zn 0.0000 0.0000 0.0000
Zn 0.0000 0.5000 0.6362
Zn 0.5000 0.0000 0.3638
Cu 0.5000 0.5000 0.0000
Au 0.0000 0.0000 0.5000
Au 0.0000 0.5000 0.8628
Au 0.5000 0.0000 0.1372
Au 0.5000 0.5000 0.5000

- SG = P-4m2 (115)
- calculated formation energy (eV per atom) = -0.462
- Fermi-level density of states (states/eV/f.u.) = 7.874
- total magnetization (μB per formula unit) = 0.0

***

Entry 20:
First-principles (GGA-PBE) data for CuNi2Au after structural relaxation, as listed in Alexandria.

a = 4.5473 Å, b = 4.5473 Å, c = 4.5473 Å
α = 131.40°, β = 131.40°, γ = 71.18°
Element x y z (fractional)
Cu 0.0000 0.0000 0.0000
Ni 0.5000 0.5000 0.0000
Ni 0.7500 0.2500 0.5000
Au 0.2500 0.7500 0.5000

- SG = I-4m2 (119)
- calculated formation energy (eV per atom) = 0.067
- Fermi-level density of states (states/eV/f.u.) = 6.112
- total magnetization (μB per formula unit) = 0.7